[1]
A relaxed structure of RbScHgSe3. Source: OQMD, functional PBE.

Unit cell a=11.666 b=4.035 c=14.803 alpha=90.00 beta=90.00 gamma=90.00
Space group Pnma (No. 62)
Inequivalent atoms, fractional coordinates:
Rb  0.204  0.250  0.012
Sc  0.002  0.750  0.731
Hg  0.235  0.750  0.228
Se  0.023  0.750  0.144
Se  0.086  0.250  0.623
Se  0.198  0.250  0.345

E_tot (eV per cell): -98.3

[2]
A relaxed structure of TbTcPb. Source: OQMD, functional PBE.

Unit cell a=6.761 b=6.761 c=6.761 alpha=90.00 beta=90.00 gamma=90.00
Space group F-43m (No. 216)
Inequivalent atoms, fractional coordinates:
Tb  0.000  0.000  0.000
Tc  0.000  0.000  0.500
Pb  0.250  0.250  0.250

E_tot (eV per cell): -68.3

[3]
A relaxed structure of NbCuAgPb. Source: OQMD, functional PBE.

Unit cell a=6.708 b=6.708 c=6.708 alpha=90.00 beta=90.00 gamma=90.00
Space group F-43m (No. 216)
Inequivalent atoms, fractional coordinates:
Nb  0.000  0.000  0.000
Cu  0.000  0.000  0.500
Ag  0.250  0.250  0.750
Pb  0.250  0.250  0.250

Polymorph energy (0 for the lowest one) (meV per atom): 0

[4]
A relaxed structure of CsPr2. Source: OQMD, functional PBE.

Unit cell a=10.580 b=10.580 c=10.580 alpha=90.00 beta=90.00 gamma=90.00
Space group Fd-3m (No. 227, origin choice 2)
Inequivalent atoms, fractional coordinates:
Cs  0.125  0.125  0.125
Pr  0.000  0.000  0.500

E_tot (eV per cell): -68.6

[5]
A relaxed structure of LuSc2Ga. Source: OQMD, functional PBE.

Unit cell a=7.103 b=7.103 c=7.103 alpha=90.00 beta=90.00 gamma=90.00
Space group F-43m (No. 216)
Inequivalent atoms, fractional coordinates:
Lu  0.000  0.000  0.000
Sc  0.000  0.000  0.500
Sc  0.250  0.250  0.250
Ga  0.250  0.250  0.750

E_tot (eV per cell): -83.1

[6]
A relaxed structure of NaHoPO. Source: OQMD, functional PBE.

Unit cell a=5.539 b=5.539 c=4.873 alpha=90.00 beta=90.00 gamma=90.00
Space group P4/nmm (No. 129, origin choice 2)
Inequivalent atoms, fractional coordinates:
Na  0.250  0.250  0.004
Ho  0.250  0.750  0.500
P  0.250  0.250  0.504
O  0.250  0.750  0.000

Polymorph energy (0 for the lowest one) (meV per atom): 422

[7]
A relaxed structure of HoTmBe. Source: OQMD, functional PBE.

Unit cell a=6.704 b=6.704 c=6.704 alpha=90.00 beta=90.00 gamma=90.00
Space group F-43m (No. 216)
Inequivalent atoms, fractional coordinates:
Ho  0.000  0.000  0.000
Tm  0.250  0.250  0.750
Be  0.000  0.000  0.500

Polymorph energy (0 for the lowest one) (meV per atom): 0

[8]
A relaxed structure of Ga2Cu2Re. Source: OQMD, functional PBE.

Unit cell a=3.627 b=3.627 c=10.912 alpha=90.00 beta=90.00 gamma=90.00
Space group I4/mmm (No. 139)
Inequivalent atoms, fractional coordinates:
Ga  0.000  0.500  0.250
Cu  0.000  0.000  0.102
Re  0.000  0.000  0.500

E_tot (eV per cell): -45.8

[9]
A relaxed structure of LuCuMoAs. Source: OQMD, functional PBE.

Unit cell a=6.450 b=6.450 c=6.450 alpha=90.00 beta=90.00 gamma=90.00
Space group F-43m (No. 216)
Inequivalent atoms, fractional coordinates:
Lu  0.000  0.000  0.000
Cu  0.250  0.250  0.750
Mo  0.250  0.250  0.250
As  0.000  0.000  0.500

Polymorph energy (0 for the lowest one) (meV per atom): 0

[10]
A relaxed structure of MgNbNiAg. Source: OQMD, functional PBE.

Unit cell a=6.369 b=6.369 c=6.369 alpha=90.00 beta=90.00 gamma=90.00
Space group F-43m (No. 216)
Inequivalent atoms, fractional coordinates:
Mg  0.000  0.000  0.000
Nb  0.000  0.000  0.500
Ni  0.250  0.250  0.250
Ag  0.250  0.250  0.750

Polymorph energy (0 for the lowest one) (meV per atom): 0

[11]
A relaxed structure of LaNd2IrPd2Pb3. Source: OQMD, functional PBE.

Unit cell a=4.074 b=13.656 c=7.883 alpha=90.00 beta=90.00 gamma=90.00
Space group Amm2 (No. 38)
Inequivalent atoms, fractional coordinates:
La  0.000  0.000  0.000
Nd  0.000  0.201  0.604
Ir  0.000  0.000  0.403
Pd  0.500  0.167  0.904
Pb  0.500  0.000  0.659
Pb  0.500  0.130  0.276

E_tot (eV per cell): -101.7

[12]
A relaxed structure of Lu7Ir2Se2. Source: OQMD, functional PBE.

Unit cell a=3.832 b=14.771 c=9.077 alpha=90.00 beta=90.00 gamma=90.00
Space group Imm2 (No. 44)
Inequivalent atoms, fractional coordinates:
Lu  0.000  0.000  0.000
Lu  0.000  0.126  0.584
Lu  0.000  0.317  0.370
Lu  0.000  0.360  0.738
Ir  0.000  0.237  0.071
Se  0.000  0.000  0.341
Se  0.000  0.500  0.240

E_tot (eV per cell): -136.5